Entry 1:
Here is a geometry-optimized Ni6Pd structure from the Alexandria database. Energies are from PBE.

Structure (POSCAR):
```
Ni6Pd
1.0
4.7844 0.0000 0.0000
0.0006 6.6451 0.0000
1.6932 0.0044 10.4481
Ni Pd
24 4
direct
0.0250 0.2494 0.4242
0.0906 0.1750 0.9750
0.0952 0.7547 0.2228
0.1069 0.5166 0.8887
0.2038 0.4477 0.6253
0.2159 0.0813 0.5925
0.2835 0.5824 0.4069
0.2974 0.9492 0.3736
0.3932 0.0165 0.1112
0.4044 0.2547 0.7774
0.4091 0.6749 0.0251
0.4750 0.7484 0.5756
0.5250 0.2516 0.4244
0.5909 0.3251 0.9749
0.5956 0.7453 0.2226
0.6068 0.9835 0.8888
0.7026 0.0508 0.6264
0.7165 0.4176 0.5931
0.7841 0.9187 0.4075
0.7962 0.5523 0.3747
0.8931 0.4834 0.1113
0.9048 0.2453 0.7772
0.9094 0.8250 0.0250
0.9750 0.7506 0.5758
0.1583 0.8750 0.7938
0.3418 0.3748 0.2061
0.6582 0.6252 0.7939
0.8417 0.1250 0.2062
```

Output
- E above lowest polymorph (meV/atom) = 0.0
- crystal system = triclinic
- D(E_F) (states/eV per atom) = 1.767



Entry 2:
Here is a geometry-optimized Ni3Pd4 structure from the Alexandria database. Energies are from PBE.

Structure (POSCAR):
```
Ni3Pd4
1.0
-1.3363 1.3363 14.2237
1.3363 -1.3363 14.2237
1.3363 1.3363 -14.2237
Ni Pd
3 4
direct
0.0000 0.0000 0.0000
0.2237 0.2237 0.0000
0.7763 0.7763 0.0000
0.1382 0.1382 0.0000
0.4357 0.4357 0.0000
0.5643 0.5643 0.0000
0.8618 0.8618 0.0000
```

Output
- E above lowest polymorph (meV/atom) = 172.4
- crystal system = tetragonal
- D(E_F) (states/eV per atom) = 1.636



Entry 3:
Here is a geometry-optimized NiPd5 structure from the Alexandria database. Energies are from PBE.

Structure (POSCAR):
```
NiPd5
1.0
2.7717 0.0000 0.0000
0.0000 2.7717 0.0000
0.0000 0.0000 11.5319
Ni Pd
1 5
direct
0.0000 0.0000 0.0000
0.0000 0.0000 0.3255
0.0000 0.0000 0.6745
0.5000 0.5000 0.1499
0.5000 0.5000 0.5000
0.5000 0.5000 0.8501
```

Output
- crystal system = tetragonal
- D(E_F) (states/eV per atom) = 1.834
- E_tot (eV/cell) = -31.7



Entry 4:
Here is a geometry-optimized NiPd4 structure from the Alexandria database. Energies are from PBE.

Structure (POSCAR):
```
NiPd4
1.0
-1.3825 1.3825 9.5588
1.3825 -1.3825 9.5588
1.3825 1.3825 -9.5588
Ni Pd
1 4
direct
0.0000 0.0000 0.0000
0.1969 0.1969 0.0000
0.4094 0.4094 0.0000
0.5906 0.5906 0.0000
0.8031 0.8031 0.0000
```

Output
- E above lowest polymorph (meV/atom) = 0.0
- crystal system = tetragonal
- D(E_F) (states/eV per atom) = 1.732



Question: Which value of D(E_F) does entry 2 give?
Answer: 1.636 states/eV per atom